[1]
A plane-wave DFT calculation with GGA-PBE was carried out for Tm2HCBr after structural relaxation.

Results
M_tot	0.00	μB per cell

```
data_Tm2HCBr
_chemical_formula_sum 'Tm2 H1 C1 Br1'
_symmetry_space_group_name_H-M 'P 3 m 1'
_symmetry_Int_Tables_number 156
_symmetry_space_group_name_Hall 'P 3 -2"'
_cell_length_a 3.6345
_cell_length_b 3.6345
_cell_length_c 7.7361
_cell_angle_alpha 90.00
_cell_angle_beta 90.00
_cell_angle_gamma 120.00
loop_
_atom_site_label
_atom_site_fract_x
_atom_site_fract_y
_atom_site_fract_z
_atom_site_occupancy
Tm1 0.0000 0.0000 0.0000 1
Tm2 0.3333 0.6667 0.3381 1
H1 0.0000 0.0000 0.4282 1
C1 0.6667 0.3333 0.1554 1
Br1 0.3333 0.6667 0.7346 1
```



[2]
A plane-wave DFT calculation with GGA-PBE was carried out for Tm3Lu3Bi2Pd after structural relaxation.

Results
M_tot	1.01	μB per cell
excess energy over the best structure of this formula in the dataset	0.000	eV/f.u.

```
data_Tm3Lu3Bi2Pd
_chemical_formula_sum 'Tm3 Lu3 Bi2 Pd1'
_symmetry_space_group_name_H-M 'P -6 2 m'
_symmetry_Int_Tables_number 189
_symmetry_space_group_name_Hall 'P -6 -2'
_cell_length_a 8.3147
_cell_length_b 8.3147
_cell_length_c 4.0558
_cell_angle_alpha 90.00
_cell_angle_beta 90.00
_cell_angle_gamma 120.00
loop_
_atom_site_label
_atom_site_fract_x
_atom_site_fract_y
_atom_site_fract_z
_atom_site_occupancy
Tm1 0.0000 0.6058 0.0000 1
Lu1 0.0000 0.2415 0.5000 1
Bi1 0.3333 0.6667 0.5000 1
Pd1 0.0000 0.0000 0.0000 1
```



[3]
A plane-wave DFT calculation with GGA-PBE was carried out for LuNb3Sn2C2 after structural relaxation.

Results
M_tot	0.01	μB per cell

```
data_LuNb3Sn2C2
_chemical_formula_sum 'Lu1 Nb3 Sn2 C2'
_symmetry_space_group_name_H-M 'P 3 m 1'
_symmetry_Int_Tables_number 156
_symmetry_space_group_name_Hall 'P 3 -2"'
_cell_length_a 3.2991
_cell_length_b 3.2991
_cell_length_c 14.3504
_cell_angle_alpha 90.00
_cell_angle_beta 90.00
_cell_angle_gamma 120.00
loop_
_atom_site_label
_atom_site_fract_x
_atom_site_fract_y
_atom_site_fract_z
_atom_site_occupancy
Lu1 0.0000 0.0000 0.0000 1
Nb1 0.0000 0.0000 0.6584 1
Nb2 0.6667 0.3333 0.1775 1
Nb3 0.6667 0.3333 0.4992 1
Sn1 0.0000 0.0000 0.3385 1
Sn2 0.6667 0.3333 0.8198 1
C1 0.3333 0.6667 0.0961 1
C2 0.3333 0.6667 0.5792 1
```



[4]
A plane-wave DFT calculation with GGA-PBE was carried out for HgBiSO after structural relaxation.

Results
excess energy over the best structure of this formula in the dataset	1.264	eV/f.u.

```
data_HgBiSO
_chemical_formula_sum 'Hg2 Bi2 S2 O2'
_symmetry_space_group_name_H-M 'P m c 21'
_symmetry_Int_Tables_number 26
_symmetry_space_group_name_Hall 'P 2c -2'
_cell_length_a 4.044
_cell_length_b 7.184
_cell_length_c 6.600
_cell_angle_alpha 90.00
_cell_angle_beta 90.00
_cell_angle_gamma 90.00
loop_
_atom_site_label
_atom_site_fract_x
_atom_site_fract_y
_atom_site_fract_z
_atom_site_occupancy
Hg1 0.000 0.239 0.000 1
Bi1 0.500 0.303 0.402 1
S1 0.000 0.137 0.626 1
O1 0.500 0.440 0.056 1
```



[5]
A plane-wave DFT calculation with GGA-PBE was carried out for Ta2MoW after structural relaxation.

Results
M_tot	0.05	μB per cell
calculated formation energy	-81	meV/atom

```
data_Ta2MoW
_chemical_formula_sum 'Ta8 Mo4 W4'
_symmetry_space_group_name_H-M 'F -4 3 m'
_symmetry_Int_Tables_number 216
_symmetry_space_group_name_Hall 'F -4 2 3'
_cell_length_a 6.467
_cell_length_b 6.467
_cell_length_c 6.467
_cell_angle_alpha 90.00
_cell_angle_beta 90.00
_cell_angle_gamma 90.00
loop_
_atom_site_label
_atom_site_fract_x
_atom_site_fract_y
_atom_site_fract_z
_atom_site_occupancy
Ta1 0.000 0.000 0.000 1
Ta2 0.250 0.250 0.250 1
Mo1 0.000 0.000 0.500 1
W1 0.250 0.250 0.750 1
```



[6]
A plane-wave DFT calculation with GGA-PBE was carried out for HfAlCuTc after structural relaxation.

Results
M_tot	0.01	μB per cell
excess energy over the best structure of this formula in the dataset	0.000	eV/f.u.

```
data_HfAlCuTc
_chemical_formula_sum 'Hf4 Al4 Cu4 Tc4'
_symmetry_space_group_name_H-M 'F -4 3 m'
_symmetry_Int_Tables_number 216
_symmetry_space_group_name_Hall 'F -4 2 3'
_cell_length_a 6.275
_cell_length_b 6.275
_cell_length_c 6.275
_cell_angle_alpha 90.00
_cell_angle_beta 90.00
_cell_angle_gamma 90.00
loop_
_atom_site_label
_atom_site_fract_x
_atom_site_fract_y
_atom_site_fract_z
_atom_site_occupancy
Hf1 0.000 0.000 0.000 1
Al1 0.000 0.000 0.500 1
Cu1 0.250 0.250 0.750 1
Tc1 0.250 0.250 0.250 1
```



[7]
A plane-wave DFT calculation with GGA-PBE was carried out for HfInCuTeS2 after structural relaxation.

Results
M_tot	0.02	μB per cell

```
data_HfInCuTeS2
_chemical_formula_sum 'Hf4 In4 Cu4 Te4 S8'
_symmetry_space_group_name_H-M 'C m c m'
_symmetry_Int_Tables_number 63
_symmetry_space_group_name_Hall '-C 2c 2'
_cell_length_a 3.751
_cell_length_b 15.190
_cell_length_c 10.334
_cell_angle_alpha 90.00
_cell_angle_beta 90.00
_cell_angle_gamma 90.00
loop_
_atom_site_label
_atom_site_fract_x
_atom_site_fract_y
_atom_site_fract_z
_atom_site_occupancy
Hf1 0.000 0.000 0.000 1
In1 0.000 0.218 0.250 1
Cu1 0.000 0.468 0.750 1
Te1 0.000 0.090 0.750 1
S1 0.000 0.391 0.560 1
```



[8]
A plane-wave DFT calculation with GGA-PBE was carried out for GdTmTlTe3 after structural relaxation.

Results
M_tot	0.41	μB per cell
excess energy over the best structure of this formula in the dataset	0.000	eV/f.u.

```
data_GdTmTlTe3
_chemical_formula_sum 'Gd4 Tm4 Tl4 Te12'
_symmetry_space_group_name_H-M 'C m c m'
_symmetry_Int_Tables_number 63
_symmetry_space_group_name_Hall '-C 2c 2'
_cell_length_a 4.442
_cell_length_b 15.373
_cell_length_c 12.033
_cell_angle_alpha 90.00
_cell_angle_beta 90.00
_cell_angle_gamma 90.00
loop_
_atom_site_label
_atom_site_fract_x
_atom_site_fract_y
_atom_site_fract_z
_atom_site_occupancy
Gd1 0.000 0.000 0.000 1
Tm1 0.000 0.438 0.250 1
Tl1 0.000 0.253 0.750 1
Te1 0.000 0.065 0.250 1
Te2 0.000 0.357 0.033 1
```



[9]
A plane-wave DFT calculation with GGA-PBE was carried out for NiB2Ir after structural relaxation.

Results
M_tot	0.01	μB per cell

```
data_NiB2Ir
_chemical_formula_sum 'Ni4 B8 Ir4'
_symmetry_space_group_name_H-M 'F -4 3 m'
_symmetry_Int_Tables_number 216
_symmetry_space_group_name_Hall 'F -4 2 3'
_cell_length_a 5.433
_cell_length_b 5.433
_cell_length_c 5.433
_cell_angle_alpha 90.00
_cell_angle_beta 90.00
_cell_angle_gamma 90.00
loop_
_atom_site_label
_atom_site_fract_x
_atom_site_fract_y
_atom_site_fract_z
_atom_site_occupancy
Ni1 0.000 0.000 0.000 1
B1 0.000 0.000 0.500 1
B2 0.250 0.250 0.250 1
Ir1 0.250 0.250 0.750 1
```



[10]
A plane-wave DFT calculation with GGA-PBE was carried out for Li4Ag2AsPb after structural relaxation.

```
data_Li4Ag2AsPb
_chemical_formula_sum 'Li4 Ag2 As1 Pb1'
_symmetry_space_group_name_H-M 'P -4 m 2'
_symmetry_Int_Tables_number 115
_symmetry_space_group_name_Hall 'P -4 -2'
_cell_length_a 4.441
_cell_length_b 4.441
_cell_length_c 6.911
_cell_angle_alpha 90.00
_cell_angle_beta 90.00
_cell_angle_gamma 90.00
loop_
_atom_site_label
_atom_site_fract_x
_atom_site_fract_y
_atom_site_fract_z
_atom_site_occupancy
Li1 0.000 0.000 0.000 1
Li2 0.000 0.500 0.224 1
Li3 0.500 0.500 0.500 1
Ag1 0.000 0.500 0.767 1
As1 0.500 0.500 0.000 1
Pb1 0.000 0.000 0.500 1
```



[11]
A plane-wave DFT calculation with GGA-PBE was carried out for LiAl2Cu5 after structural relaxation.

Results
excess energy over the best structure of this formula in the dataset	0.025	eV/f.u.

```
data_LiAl2Cu5
_chemical_formula_sum 'Li4 Al8 Cu20'
_symmetry_space_group_name_H-M 'I 41/a m d'
_symmetry_Int_Tables_number 141
_cell_length_a 5.783
_cell_length_b 5.783
_cell_length_c 11.797
_cell_angle_alpha 90.00
_cell_angle_beta 90.00
_cell_angle_gamma 90.00
loop_
_symmetry_equiv_pos_as_xyz
'x,y,z'
'-x,-y,-z'
'-y+1/4,x+3/4,z+1/4'
'y+1/4,-x+3/4,-z+1/4'
'-x+1/2,-y,z+1/2'
'x+1/2,y,-z+1/2'
'y+1/4,-x+1/4,z+3/4'
'-y+1/4,x+1/4,-z+3/4'
'x,-y,-z'
'-x,y,z'
'-y+1/4,-x+1/4,-z+3/4'
'y+1/4,x+1/4,z+3/4'
'-x+1/2,y,-z+1/2'
'x+1/2,-y,z+1/2'
'y+1/4,x+3/4,-z+1/4'
'-y+1/4,-x+3/4,z+1/4'
'x+1/2,y+1/2,z+1/2'
'-x+1/2,-y+1/2,-z+1/2'
'-y+3/4,x+1/4,z+3/4'
'y+3/4,-x+1/4,-z+3/4'
'-x,-y+1/2,z'
'x,y+1/2,-z'
'y+3/4,-x+3/4,z+1/4'
'-y+3/4,x+3/4,-z+1/4'
'x+1/2,-y+1/2,-z+1/2'
'-x+1/2,y+1/2,z+1/2'
'-y+3/4,-x+3/4,-z+1/4'
'y+3/4,x+3/4,z+1/4'
'-x,y+1/2,-z'
'x,-y+1/2,z'
'y+3/4,x+1/4,-z+3/4'
'-y+3/4,-x+1/4,z+3/4'
loop_
_atom_site_label
_atom_site_fract_x
_atom_site_fract_y
_atom_site_fract_z
_atom_site_occupancy
Li1 0.000 0.250 0.375 1
Al1 0.000 0.250 0.125 1
Cu1 0.000 0.250 0.875 1
Cu2 0.248 0.000 0.500 1
```



Theoretical density across the listed records, respectively: 8.08 10.64 8.78 7.92 15.76 9.86 6.19 7.38 11.29 6.40 6.37 g cm⁻³.
DFT total energy across the listed records, respectively: -5.54 -5.07 -8.13 -3.66 -11.96 -7.23 -5.40 -4.45 -6.02 -3.07 -3.69 eV per atom.